FeRe2 after structural relaxation, computed with PBE.

Summary:
The space group is P6_3/mmc, No. 194.

Lattice parameters (Å, degrees): 4.1952 5.3224 4.1952 90.00 60.00 90.00
Fractional positions:
Fe 0.6667 0.2500 0.6667
Fe 0.3333 0.7500 0.3333
Re 0.6667 0.7500 0.6667
Re 0.0000 0.0000 0.0000
Re 0.0000 0.5000 0.0000
Re 0.3333 0.2500 0.3333

---

Fe3Re5 after structural relaxation, computed with PBE.

Summary:
The space group is P6_3/mcm, No. 193.

Lattice parameters (Å, degrees): 7.2011 7.2013 4.8328 90.00 90.00 60.00
Fractional positions:
Re 0.6667 0.6667 0.5000
Re 0.6667 0.6667 0.0000
Re 0.0000 0.2225 0.7500
Re 0.7775 0.2225 0.2500
Re 0.2225 0.0000 0.2500
Re 0.3333 0.3333 0.0000
Re 0.0000 0.7775 0.2500
Re 0.3333 0.3333 0.5000
Re 0.2225 0.7775 0.7500
Re 0.7775 0.0000 0.7500
Fe 0.5833 0.0000 0.2500
Fe 0.0000 0.5833 0.7500
Fe 0.4167 0.0000 0.7500
Fe 0.4167 0.5833 0.2500
Fe 0.5833 0.4167 0.7500
Fe 0.0000 0.4167 0.2500

---

FeRe after structural relaxation, computed with PBE.

Summary:
The space group is P4/nmm, No. 129.

Lattice parameters (Å, degrees): 2.7143 2.7143 7.1100 90.00 90.00 90.00
Fractional positions:
Re 0.7500 0.7500 0.3511
Re 0.2500 0.2500 0.6489
Fe 0.7500 0.7500 0.8915
Fe 0.2500 0.2500 0.1085

---

FeRe after structural relaxation, computed with PBE.

Summary:
The space group is P4/nmm, No. 129.

Lattice parameters (Å, degrees): 2.9960 2.9960 5.9528 90.00 90.00 90.00
Fractional positions:
Re 0.5000 0.5000 0.7581
Re 0.0000 0.0000 0.4919
Fe 0.5000 0.5000 0.2312
Fe 0.0000 0.0000 0.0188

---

Number 1: energy relative to the elements 0.048 eV per atom, N(E_F) 5.1 states/eV/cell. Number 2: energy relative to the elements 0.176 eV per atom, N(E_F) 14.1 states/eV/cell. Number 3: energy relative to the elements 0.120 eV per atom, N(E_F) 4.4 states/eV/cell. Number 4: energy relative to the elements 0.084 eV per atom, N(E_F) 3.2 states/eV/cell.